# PBE Pa2TlAs, relaxed
# Final energy: -6.77 eV per atom
# Energy above the most stable polymorph in this dataset: 0.114 eV/f.u.
# Energy of formation from the pure elements: -6.16 kcal/mol of atoms
# Calculated volume: 103 Å³ per cell
data_Pa2TlAs
_symmetry_space_group_name_H-M 'P 1'
_symmetry_Int_Tables_number 1
_symmetry_space_group_name_Hall 'P 1'
_cell_length_a 3.601
_cell_length_b 3.601
_cell_length_c 9.437
_cell_angle_alpha 79.00
_cell_angle_beta 79.00
_cell_angle_gamma 60.00
loop_
_atom_site_label
_atom_site_type_symbol
_atom_site_fract_x
_atom_site_fract_y
_atom_site_fract_z
_atom_site_occupancy
Pa1 Pa 0.737 0.737 0.789 1
Pa2 Pa 0.263 0.263 0.211 1
Tl1 Tl 0.500 0.500 0.500 1
As1 As 0.000 0.000 0.000 1